No. 1
An optimized crystal structure of Na2Tl2Hg. Source: Alexandria, functional GGA-PBE.

a = 5.2495 Å, b = 6.4678 Å, c = 9.9970 Å
α = 97.81°, β = 74.78°, γ = 66.06°
Closest atoms and distances in Å follow each position.
Positions (direct):
Na 0.8979 0.2674 0.9369  4 Tl 3.32-3.47, 2 Hg 3.42, 2 Na 3.54-3.69
Tl 0.6773 0.7829 0.8625  1 Hg 3.06, 2 Tl 3.14-3.29, 5 Na 3.32
Na 0.1021 0.7326 0.0631  4 Tl 3.32-3.47, 2 Hg 3.42, 2 Na 3.54-3.69
Hg 0.4316 0.8379 0.2988  4 Tl 3.06-3.35, 2 Na 3.42
Tl 0.9482 0.6889 0.4146  3 Hg 3.07-3.35, 2 Tl 3.12-3.29, 2 Na 3.41
Na 0.6975 0.2518 0.3532  7 Tl 3.32-3.62, 2 Na 3.47-3.54, 4 Hg 3.53-3.64
Tl 0.0518 0.3111 0.5854  3 Hg 3.07-3.35, 2 Tl 3.12-3.29, 2 Na 3.41
Na 0.3025 0.7482 0.6468  7 Tl 3.32-3.62, 2 Na 3.47-3.54, 4 Hg 3.53-3.64
Hg 0.5684 0.1621 0.7012  4 Tl 3.06-3.35, 2 Na 3.42
Tl 0.3227 0.2171 0.1375  1 Hg 3.06, 2 Tl 3.14-3.29, 5 Na 3.32

As for the energy relative to the lowest polymorph listed for this composition: 0.047 eV/atom. The value obtained for the mass density is 7562 kg/m3. Its volume is 28.8 Å³ per atom.

No. 2
An optimized crystal structure of NaTl8Hg2. Source: Alexandria, functional GGA-PBE.

a = 6.1892 Å, b = 10.0630 Å, c = 10.0630 Å
α = 38.34°, β = 62.94°, γ = 62.94°
Closest atoms and distances in Å follow each position.
Positions (direct):
Tl 0.7386 0.6613 0.1701  6 Tl 3.14-3.47, 1 Na 3.24, 1 Hg 3.36
Hg 0.5271 0.8082 0.8082  4 Tl 3.08-3.38
Tl 0.1337 0.7532 0.7532  2 Hg 3.08-3.38, 4 Tl 3.33-3.34
Tl 0.2614 0.8299 0.3387  6 Tl 3.14-3.47, 1 Na 3.24, 1 Hg 3.36
Na 0.0000 0.0000 0.0000  4 Tl 3.24, 2 Hg 3.53
Tl 0.8663 0.2468 0.2468  2 Hg 3.08-3.38, 4 Tl 3.33-3.34
Tl 0.7422 0.6020 0.6020  6 Tl 3.47-3.65, 3 Hg 3.48-3.72, 2 Na 3.77
Tl 0.2578 0.3980 0.3980  6 Tl 3.47-3.65, 3 Hg 3.48-3.72, 2 Na 3.77
Tl 0.7386 0.1701 0.6613  6 Tl 3.14-3.47, 1 Na 3.24, 1 Hg 3.36
Hg 0.4729 0.1918 0.1918  4 Tl 3.08-3.38
Tl 0.2614 0.3387 0.8299  6 Tl 3.14-3.47, 1 Na 3.24, 1 Hg 3.36

As for the energy relative to the lowest polymorph listed for this composition: 0.022 eV/atom. The value obtained for the mass density is 10035 kg/m3. Its volume is 31.0 Å³ per atom.

No. 3
An optimized crystal structure of Na3TlHg. Source: Alexandria, functional GGA-PBE.

a = 5.7147 Å, b = 5.7147 Å, c = 5.7147 Å
α = 90.00°, β = 90.00°, γ = 90.00°
Closest atoms and distances in Å follow each position.
Positions (direct):
Tl 0.5000 0.5000 0.5000  12 Na 4.04
Na 0.5000 0.0000 0.0000  2 Hg 2.86
Na 0.0000 0.5000 0.0000  2 Hg 2.86
Hg 0.0000 0.0000 0.0000  6 Na 2.86
Na 0.0000 0.0000 0.5000  2 Hg 2.86

As for the energy relative to the lowest polymorph listed for this composition: 0.164 eV/atom. The value obtained for the mass density is 4217 kg/m3. Its volume is 37.3 Å³ per atom.

No. 4
An optimized crystal structure of NaTl5Hg6. Source: Alexandria, functional GGA-PBE.

a = 5.4363 Å, b = 7.2139 Å, c = 9.0647 Å
α = 90.00°, β = 72.55°, γ = 90.00°
Closest atoms and distances in Å follow each position.
Positions (direct):
Hg 0.8383 0.7545 0.3233  7 Tl 3.24-3.48, 1 Na 3.31, 1 Hg 3.54
Hg 0.4999 0.2475 0.0000  2 Na 3.25, 6 Tl 3.27-3.48, 1 Hg 3.57
Na 0.0000 0.0000 0.0000  8 Hg 3.25-3.31, 2 Tl 3.61
Hg 0.1616 0.7545 0.6767  7 Tl 3.24-3.48, 1 Na 3.31, 1 Hg 3.54
Tl 0.3287 0.5000 0.3426  8 Hg 3.28-3.48, 2 Tl 3.61
Hg 0.8384 0.2455 0.3233  7 Tl 3.24-3.48, 1 Na 3.31, 1 Hg 3.54
Hg 0.1617 0.2455 0.6767  7 Tl 3.24-3.48, 1 Na 3.31, 1 Hg 3.54
Tl 0.0000 0.5000 0.0000  8 Hg 3.27-3.34, 2 Na 3.61
Hg 0.5001 0.7525 0.0000  2 Na 3.25, 6 Tl 3.27-3.48, 1 Hg 3.57
Tl 0.3347 0.0000 0.3306  8 Hg 3.24-3.48, 2 Tl 3.61
Tl 0.6653 0.0000 0.6694  8 Hg 3.24-3.48, 2 Tl 3.61
Tl 0.6713 0.5000 0.6574  8 Hg 3.28-3.48, 2 Tl 3.61

The value obtained for the mass density is 11009 kg/m3. The final energy comes out at -1.3041 eV per atom. Its volume is 28.3 Å³ per atom.

No. 5
An optimized crystal structure of Na5Tl6Hg. Source: Alexandria, functional GGA-PBE.

a = 4.9381 Å, b = 9.0577 Å, c = 7.9082 Å
α = 90.00°, β = 71.81°, γ = 90.00°
Closest atoms and distances in Å follow each position.
Positions (direct):
Tl 0.8355 0.7590 0.3290  7 Na 3.30-3.45, 1 Hg 3.30, 4 Tl 3.49-3.56
Na 0.3405 0.0000 0.3190  8 Tl 3.30-3.43, 2 Hg 3.44, 2 Na 3.67
Tl 0.8355 0.2410 0.3290  7 Na 3.30-3.45, 1 Hg 3.30, 4 Tl 3.49-3.56
Tl 0.5000 0.2511 0.0000  6 Na 3.30-3.38, 2 Hg 3.36, 4 Tl 3.49
Na 0.3326 0.5000 0.3348  8 Tl 3.38-3.45, 4 Na 3.50-3.52
Tl 0.1645 0.7590 0.6710  7 Na 3.30-3.45, 1 Hg 3.30, 4 Tl 3.49-3.56
Tl 0.5000 0.7489 0.0000  6 Na 3.30-3.38, 2 Hg 3.36, 4 Tl 3.49
Hg 0.0000 0.0000 0.0000  8 Tl 3.30-3.36, 4 Na 3.44
Na 0.6595 0.0000 0.6810  8 Tl 3.30-3.43, 2 Hg 3.44, 2 Na 3.67
Tl 0.1645 0.2410 0.6710  7 Na 3.30-3.45, 1 Hg 3.30, 4 Tl 3.49-3.56
Na 0.6674 0.5000 0.6652  8 Tl 3.38-3.45, 4 Na 3.50-3.52
Na 0.0000 0.5000 0.0000  8 Tl 3.34-3.41, 4 Na 3.52

The value obtained for the mass density is 7619 kg/m3. The final energy comes out at -1.8578 eV per atom. Its volume is 28.0 Å³ per atom.

No. 6
An optimized crystal structure of Na3Tl2Hg8. Source: Alexandria, functional GGA-PBE.

a = 5.6777 Å, b = 8.2822 Å, c = 8.2822 Å
α = 83.35°, β = 73.87°, γ = 73.87°
Closest atoms and distances in Å follow each position.
Positions (direct):
Hg 0.3127 0.9206 0.4156  3 Hg 3.14-3.44, 2 Tl 3.18-3.50, 2 Na 3.20-3.35
Hg 0.3127 0.4156 0.9206  3 Hg 3.14-3.44, 2 Tl 3.18-3.50, 2 Na 3.20-3.35
Na 0.5000 0.0000 0.0000  6 Hg 3.02-3.35
Hg 0.6873 0.5844 0.0794  3 Hg 3.14-3.44, 2 Tl 3.18-3.50, 2 Na 3.20-3.35
Hg 0.0642 0.8614 0.8614  3 Na 3.02-3.24, 1 Tl 3.14, 2 Hg 3.23-3.34
Tl 0.3538 0.2929 0.2929  6 Hg 3.07-3.40, 1 Na 3.40
Tl 0.6462 0.7071 0.7071  6 Hg 3.07-3.40, 1 Na 3.40
Hg 0.2218 0.5727 0.5727  4 Hg 3.00-3.34, 2 Tl 3.07-3.26, 2 Na 3.24
Na 0.0000 0.2552 0.7448  6 Hg 3.20-3.24
Hg 0.7782 0.4273 0.4273  4 Hg 3.00-3.34, 2 Tl 3.07-3.26, 2 Na 3.24
Na 0.0000 0.7448 0.2552  6 Hg 3.20-3.24
Hg 0.6873 0.0794 0.5844  3 Hg 3.14-3.44, 2 Tl 3.18-3.50, 2 Na 3.20-3.35
Hg 0.9358 0.1386 0.1386  3 Na 3.02-3.24, 1 Tl 3.14, 2 Hg 3.23-3.34

As for the energy relative to the lowest polymorph listed for this composition: 0.000 eV/atom. The value obtained for the mass density is 9630 kg/m3. Its volume is 27.6 Å³ per atom.